Below is a relaxed structure of ScTcAg2, with properties calculated at the PBE-GGA level.

a b c (Å): 4.0459 3.8890 4.4037
angles (deg): 90.00 90.08 90.00
Closest atoms and distances in Å follow each position.
Sites, in units of the cell vectors:
Sc (0.0000, 0.0000, 0.0000)  4 Tc 2.81, 8 Ag 2.94-2.99
Tc (0.5000, 0.5000, 0.0000)  4 Sc 2.81, 8 Ag 2.94-2.99
Ag (0.0000, 0.5000, 0.5000)  4 Ag 2.81, 4 Sc 2.94, 4 Tc 2.99
Ag (0.5000, 0.0000, 0.5000)  4 Ag 2.81, 4 Tc 2.94, 4 Sc 2.99

Output
Its relative energy among the computed polymorphs is 0 kJ/mol of formula units. As for the density: 8.6 g/cm3. The crystal system is monoclinic.

***

Below is a relaxed structure of TmPuZn2, with properties calculated at the PBE-GGA level.

a b c (Å): 5.0428 5.0428 3.5034
angles (deg): 90.00 90.00 90.00
Closest atoms and distances in Å follow each position.
Sites, in units of the cell vectors:
Tm (0.0000, 0.0000, 0.0000)  8 Zn 3.07
Pu (0.5000, 0.5000, 0.0000)  8 Zn 3.07
Zn (0.0000, 0.5000, 0.5000)  4 Tm 3.07, 4 Pu 3.07
Zn (0.5000, 0.0000, 0.5000)  4 Tm 3.07, 4 Pu 3.07

Output
Its relative energy among the computed polymorphs is 0 kJ/mol of formula units. As for the density: 10.1 g/cm3. The crystal system is tetragonal.

***

Below is a relaxed structure of KMg2Ru2O7, with properties calculated at the PBE-GGA level.

a b c (Å): 9.0430 9.0430 9.0430
angles (deg): 154.39 154.39 36.54
Closest atoms and distances in Å follow each position.
Sites, in units of the cell vectors:
K (0.0000, 0.0000, 0.0000)  12 O 2.83-2.93
Mg (0.2500, 0.7500, 0.5000)  6 O 2.03-2.16
Mg (0.7500, 0.2500, 0.5000)  6 O 2.03-2.16
Ru (0.3881, 0.3881, 0.0000)  6 O 1.92-2.06
Ru (0.6119, 0.6119, 0.0000)  6 O 1.92-2.06
O (0.1242, 0.6242, 0.5000)  2 Ru 2.02, 1 Mg 2.16
O (0.2682, 0.2682, 0.0000)  4 Mg 2.03, 1 Ru 2.06
O (0.3758, 0.8758, 0.5000)  2 Ru 2.02, 1 Mg 2.16
O (0.5000, 0.5000, 0.0000)  2 Ru 1.92
O (0.6242, 0.1242, 0.5000)  2 Ru 2.02, 1 Mg 2.16
O (0.7318, 0.7318, 0.0000)  4 Mg 2.03, 1 Ru 2.06
O (0.8758, 0.3758, 0.5000)  2 Ru 2.02, 1 Mg 2.16

Output
Its raw formation energy is -1.5714 eV per atom. As for the density: 4.8 g/cm3. The crystal system is tetragonal.

***

Below is a relaxed structure of SrCuP, with properties calculated at the PBE-GGA level.

a b c (Å): 5.9714 5.9714 5.9714
angles (deg): 139.78 105.39 88.34
Closest atoms and distances in Å follow each position.
Sites, in units of the cell vectors:
Sr (0.2453, 0.2453, 0.0000)  6 Cu 3.20, 6 P 3.21-3.22
Sr (0.7547, 0.7547, 0.0000)  6 Cu 3.20, 6 P 3.21-3.22
Cu (0.1768, 0.5000, 0.6768)  2 P 2.35, 1 Cu 2.56
Cu (0.8232, 0.5000, 0.3232)  2 P 2.35, 1 Cu 2.56
P (0.3359, 0.0000, 0.3359)  2 Cu 2.35, 1 P 2.38
P (0.6641, 0.0000, 0.6641)  2 Cu 2.35, 1 P 2.38

Output
The calculated total energy comes out at -4.3868 eV/atom. As for the density: 4.8 g/cm3. The crystal system is orthorhombic.